1.
Density functional theory data (GGA-PBE) for a geometry-optimized KZnGa structure.

Calculated values
V   25.7 Å³ per atom
Magnetic moment   0.000 μB/cell
Polymorph energy (0 for the lowest one)   24 meV/atom
E_tot   -1.79 eV per atom
Calculated formation energy   8.7 meV/atom
Space-group type   Pm

Unit cell a=5.3365 b=4.6106 c=6.7874 alpha=90.00 beta=112.84 gamma=90.00
Atoms (fractional coordinates):
K1 0.0000 0.0000 0.0000
K2 0.4612 0.5000 0.0041
Zn1 0.3942 0.0000 0.5563
Zn2 0.8399 0.0000 0.4466
Ga1 0.0933 0.5000 0.4173
Ga2 0.6771 0.5000 0.5874

2.
Density functional theory data (GGA-PBE) for a geometry-optimized YAs2Se structure.

Calculated values
V   24.1 Å³ per atom
Magnetic moment   0.000 μB/cell
E_form (uncorrected)   -246 meV per atom
E_tot   -5.06 eV per atom
Space-group type   R-3m

Unit cell a=6.9244 b=6.9244 c=6.9244 alpha=34.81 beta=34.81 gamma=34.81
Atoms (fractional coordinates):
Y1 0.0000 0.0000 0.0000
As1 0.2470 0.2470 0.2470
As2 0.7530 0.7530 0.7530
Se1 0.5000 0.5000 0.5000

3.
Density functional theory data (GGA-PBE) for a geometry-optimized TlCd2Cl structure.

Calculated values
V   27.1 Å³ per atom
Magnetic moment   0.000 μB/cell
E_form (uncorrected)   -284 meV per atom
Polymorph energy (0 for the lowest one)   40 meV/atom
E_tot   -1.79 eV per atom
Space-group type   R3m

Unit cell a=10.0959 b=10.0959 c=10.0959 alpha=20.28 beta=20.28 gamma=20.28
Atoms (fractional coordinates):
Tl1 0.0000 0.0000 0.0000
Cd1 0.2449 0.2449 0.2449
Cd2 0.4991 0.4991 0.4991
Cl1 0.7723 0.7723 0.7723

4.
Density functional theory data (GGA-PBE) for a geometry-optimized Li3Er5Zn12 structure.

Calculated values
V   24.4 Å³ per atom
Magnetic moment   0.000 μB/cell
E_tot   -1.93 eV per atom
Calculated formation energy   263.9 meV/atom
Space-group type   Ia-3d

Unit cell a=13.6317 b=13.6317 c=13.6317 alpha=109.47 beta=109.47 gamma=109.47
Atoms (fractional coordinates):
Li1 0.1250 0.2500 0.3750
Li2 0.1250 0.3750 0.7500
Li3 0.2500 0.3750 0.1250
Li4 0.2500 0.8750 0.6250
Li5 0.3750 0.1250 0.2500
Li6 0.3750 0.7500 0.1250
Li7 0.6250 0.2500 0.8750
Li8 0.6250 0.8750 0.7500
Li9 0.7500 0.1250 0.3750
Li10 0.7500 0.6250 0.8750
Li11 0.8750 0.6250 0.2500
Li12 0.8750 0.7500 0.6250
Er1 0.0000 0.0000 0.0000
Er2 0.0000 0.0000 0.5000
Er3 0.0000 0.5000 0.0000
Er4 0.0000 0.5000 0.5000
Er5 0.1250 0.7500 0.8750
Er6 0.1250 0.8750 0.2500
Er7 0.2500 0.1250 0.8750
Er8 0.2500 0.6250 0.3750
Er9 0.3750 0.2500 0.6250
Er10 0.3750 0.6250 0.7500
Er11 0.5000 0.0000 0.0000
Er12 0.5000 0.0000 0.5000
Er13 0.5000 0.5000 0.0000
Er14 0.5000 0.5000 0.5000
Er15 0.6250 0.3750 0.2500
Er16 0.6250 0.7500 0.3750
Er17 0.7500 0.3750 0.6250
Er18 0.7500 0.8750 0.1250
Er19 0.8750 0.1250 0.7500
Er20 0.8750 0.2500 0.1250
Zn1 0.0617 0.6516 0.4089
Zn2 0.0617 0.9101 0.6528
Zn3 0.0899 0.2427 0.1516
Zn4 0.0899 0.3472 0.9383
Zn5 0.0911 0.7427 0.6528
Zn6 0.0911 0.8484 0.4383
Zn7 0.1516 0.0899 0.2427
Zn8 0.1516 0.5617 0.9089
Zn9 0.1528 0.2427 0.5911
Zn10 0.1528 0.4101 0.5617
Zn11 0.2427 0.1516 0.0899
Zn12 0.2427 0.5911 0.1528
Zn13 0.2573 0.3472 0.9089
Zn14 0.2573 0.4101 0.3484
Zn15 0.3472 0.9089 0.2573
Zn16 0.3472 0.9383 0.0899
Zn17 0.3484 0.2573 0.4101
Zn18 0.3484 0.5911 0.9383
Zn19 0.4089 0.0617 0.6516
Zn20 0.4089 0.8472 0.7573
Zn21 0.4101 0.3484 0.2573
Zn22 0.4101 0.5617 0.1528
Zn23 0.4383 0.0911 0.8484
Zn24 0.4383 0.8472 0.5899
Zn25 0.5617 0.1528 0.4101
Zn26 0.5617 0.9089 0.1516
Zn27 0.5899 0.4383 0.8472
Zn28 0.5899 0.6516 0.7427
Zn29 0.5911 0.1528 0.2427
Zn30 0.5911 0.9383 0.3484
Zn31 0.6516 0.4089 0.0617
Zn32 0.6516 0.7427 0.5899
Zn33 0.6528 0.0617 0.9101
Zn34 0.6528 0.0911 0.7427
Zn35 0.7427 0.5899 0.6516
Zn36 0.7427 0.6528 0.0911
Zn37 0.7573 0.4089 0.8472
Zn38 0.7573 0.8484 0.9101
Zn39 0.8472 0.5899 0.4383
Zn40 0.8472 0.7573 0.4089
Zn41 0.8484 0.4383 0.0911
Zn42 0.8484 0.9101 0.7573
Zn43 0.9089 0.1516 0.5617
Zn44 0.9089 0.2573 0.3472
Zn45 0.9101 0.6528 0.0617
Zn46 0.9101 0.7573 0.8484
Zn47 0.9383 0.0899 0.3472
Zn48 0.9383 0.3484 0.5911